In2Ir PBE relaxed; calculated density = 10.1 g/cm³; energy relative to the elements = -0.11 eV per atom
1.0
6.872 0.057 0.001
6.160 3.047 0.001
0.000 0.000 6.712
In Ir
4 2
Direct
0.886 0.886 0.830
0.392 0.392 0.330
0.634 0.634 0.797
0.644 0.644 0.297
0.024 0.024 0.540
0.254 0.254 0.040